[1]
Ba4AgSb after structural relaxation. Source: the Alexandria database, functional GGA-PBE.

Cell and atoms, written as extended XYZ:
```
6
Lattice="0.000 5.067 5.067 5.067 0.000 5.067 5.067 5.067 0.000" Properties=species:S:1:pos:R:3 pbc="T T T"
Ba 3.813 6.321 6.321
Ag 0.000 0.000 0.000
Sb 7.601 7.601 7.601
Ba 6.321 3.813 6.321
Ba 6.321 6.321 3.813
Ba 3.813 3.813 3.813
```

## Properties
The density of states at the Fermi level comes out at 6.23 states/eV/cell. Its total energy is -13.4 eV for the cell shown. The uncorrected formation energy comes out at 0.22 eV per atom.

[2]
Nd3Sm6Dy2Th after structural relaxation. Source: the Alexandria database, functional GGA-PBE.

Cell and atoms, written as extended XYZ:
```
12
Lattice="-5.502 -1.602 -2.540 0.762 -0.247 6.217 -2.114 11.859 -0.323" Properties=species:S:1:pos:R:3 pbc="T T T"
Sm -2.767 8.485 0.666
Nd -1.341 5.457 4.594
Sm -4.129 7.778 3.968
Dy -1.327 -0.699 3.297
Th 0.000 0.000 0.000
Sm -0.659 2.680 2.275
Nd -5.514 4.554 -1.240
Dy -3.413 -1.150 0.380
Nd -3.427 5.005 1.677
Sm -2.725 2.233 -0.614
Sm -6.196 7.331 1.079
Sm -4.087 1.526 2.687
```

## Properties
The density of states at the Fermi level comes out at 16.86 states/eV/cell. Its total energy is -58.9 eV for the cell shown. The calculation puts the energy of formation from the pure elements at 25 meV/atom.

[3]
K2NaInHg after structural relaxation. Source: the Alexandria database, functional GGA-PBE.

Cell and atoms, written as extended XYZ:
```
5
Lattice="-5.689 3.169 0.889 -3.286 -5.568 -1.182 0.157 -1.258 5.490" Properties=species:S:1:pos:R:3 pbc="T T T"
K -2.845 1.585 0.444
Hg 0.000 0.000 0.000
Na -4.410 -1.828 2.598
K -1.643 -2.784 -0.591
In 0.078 -0.629 2.745
```

## Properties
The density of states at the Fermi level comes out at 3.56 states/eV/cell. Its total energy is -6.5 eV for the cell shown. The calculation puts the energy of formation from the pure elements at 15 meV/atom.